Below is K2TaO5 after structural relaxation, with properties calculated at the PBE-GGA level.

Cell and atoms, written as CIF:
```
data_K2TaO5
_cell_length_a 6.229
_cell_length_b 6.229
_cell_length_c 4.031
_cell_angle_alpha 90.00
_cell_angle_beta 90.00
_cell_angle_gamma 90.00
_space_group_name_H-M_alt 'P 4/m m m'
_space_group_IT_number 123
_space_group_name_Hall '-P 4 2'
loop_
_atom_site_label
_atom_site_type_symbol
_atom_site_fract_x
_atom_site_fract_y
_atom_site_fract_z
K1 K 0.000 0.500 0.000
Ta1 Ta 0.000 0.000 0.500
O1 O 0.000 0.000 0.000
O2 O 0.222 0.222 0.500
```

Properties
Raw formation energy in eV per atom: -1.56
Crystal system: tetragonal